Below is a geometry-optimized ScNb3 structure, with properties calculated at the PBE level.

DOS at the Fermi energy = 11.34 states/eV per cell
ΔH_f (0 K) = 0.228 eV per atom

```
data_ScNb3
_cell_length_a 4.0224
_cell_length_b 4.0224
_cell_length_c 9.5207
_cell_angle_alpha 90.00
_cell_angle_beta 90.00
_cell_angle_gamma 90.00
_space_group_name_H-M_alt 'I 4/m m m'
_space_group_IT_number 139
_space_group_name_Hall '-I 4 2'
loop_
_atom_site_label
_atom_site_type_symbol
_atom_site_fract_x
_atom_site_fract_y
_atom_site_fract_z
_atom_site_occupancy
Sc1 Sc 0.0000 0.0000 0.0000 1
Nb1 Nb 0.0000 0.0000 0.5000 1
Nb2 Nb 0.0000 0.5000 0.2500 1
```

---

Below is a geometry-optimized Pr3Te5S12 structure, with properties calculated at the PBE level.

DOS at the Fermi energy = 81.55 states/eV per cell
Formation energy without anion corrections = -0.474 eV per atom

```
data_Pr3Te5S12
_cell_length_a 16.4439
_cell_length_b 16.4439
_cell_length_c 16.4439
_cell_angle_alpha 90.00
_cell_angle_beta 90.00
_cell_angle_gamma 90.00
_space_group_name_H-M_alt 'I a -3 d'
_space_group_IT_number 230
_space_group_name_Hall '-I 4bd 2c 3'
loop_
_atom_site_label
_atom_site_type_symbol
_atom_site_fract_x
_atom_site_fract_y
_atom_site_fract_z
_atom_site_occupancy
Pr1 Pr 0.0000 0.2500 0.1250 1
Te1 Te 0.0000 0.0000 0.0000 1
Te2 Te 0.0000 0.2500 0.3750 1
S1 S 0.0132 0.0647 0.6528 1
```

---

Below is a geometry-optimized Pu2CuGe6Os structure, with properties calculated at the PBE level.

DOS at the Fermi energy = 80.53 states/eV per cell
ΔH_f (0 K) = -0.086 eV per atom

```
data_Pu2CuGe6Os
_cell_length_a 6.1037
_cell_length_b 6.1037
_cell_length_c 37.8668
_cell_angle_alpha 90.00
_cell_angle_beta 90.00
_cell_angle_gamma 120.00
_space_group_name_H-M_alt 'R -3 m'
_space_group_IT_number 166
_space_group_name_Hall '-R 3 2"'
loop_
_atom_site_label
_atom_site_type_symbol
_atom_site_fract_x
_atom_site_fract_y
_atom_site_fract_z
_atom_site_occupancy
Pu1 Pu 0.0000 0.0000 0.1285 1
Pu2 Pu 0.0000 0.0000 0.2777 1
Cu1 Cu 0.0000 0.0000 0.0000 1
Cu2 Cu 0.0000 0.0000 0.5000 1
Ge1 Ge 0.0491 0.5246 0.7196 1
Ge2 Ge 0.0564 0.5282 0.8705 1
Os1 Os 0.0000 0.0000 0.4251 1
```

---

Below is a geometry-optimized CePu5Ge6 structure, with properties calculated at the PBE level.

DOS at the Fermi energy = 69.81 states/eV per cell
ΔH_f (0 K) = -0.437 eV per atom

```
data_CePu5Ge6
_cell_length_a 4.6190
_cell_length_b 8.2433
_cell_length_c 13.8948
_cell_angle_alpha 90.00
_cell_angle_beta 90.00
_cell_angle_gamma 90.00
_space_group_name_H-M_alt 'I m m m'
_space_group_IT_number 71
_space_group_name_Hall '-I 2 2'
loop_
_atom_site_label
_atom_site_type_symbol
_atom_site_fract_x
_atom_site_fract_y
_atom_site_fract_z
_atom_site_occupancy
Ce1 Ce 0.0000 0.0000 0.0000 1
Pu1 Pu 0.0000 0.0000 0.3375 1
Pu2 Pu 0.0000 0.5000 0.0000 1
Pu3 Pu 0.0000 0.5000 0.3419 1
Ge1 Ge 0.0000 0.2456 0.5000 1
Ge2 Ge 0.0000 0.2519 0.1722 1
```

---

Below is a geometry-optimized NiB4 structure, with properties calculated at the PBE level.

DOS at the Fermi energy = 1.60 states/eV per cell
ΔH_f (0 K) = 0.141 eV per atom

```
data_NiB4
_cell_length_a 5.4724
_cell_length_b 3.5653
_cell_length_c 4.4283
_cell_angle_alpha 90.00
_cell_angle_beta 116.43
_cell_angle_gamma 90.00
_space_group_name_H-M_alt 'C 1 m 1'
_space_group_IT_number 8
_space_group_name_Hall 'C -2y'
loop_
_atom_site_label
_atom_site_type_symbol
_atom_site_fract_x
_atom_site_fract_y
_atom_site_fract_z
_atom_site_occupancy
Ni1 Ni 0.0000 0.0000 0.0000 1
B1 B 0.2875 0.2475 0.5062 1
B2 B 0.3112 0.0000 0.8518 1
B3 B 0.4658 0.0000 0.2797 1
```

---

Below is a geometry-optimized LiEu3Cu structure, with properties calculated at the PBE level.

DOS at the Fermi energy = 26.59 states/eV per cell
ΔH_f (0 K) = 0.079 eV per atom

```
data_LiEu3Cu
_cell_length_a 5.7722
_cell_length_b 5.7722
_cell_length_c 5.7722
_cell_angle_alpha 90.00
_cell_angle_beta 90.00
_cell_angle_gamma 90.00
_space_group_name_H-M_alt 'P m -3 m'
_space_group_IT_number 221
_space_group_name_Hall '-P 4 2 3'
loop_
_atom_site_label
_atom_site_type_symbol
_atom_site_fract_x
_atom_site_fract_y
_atom_site_fract_z
_atom_site_occupancy
Li1 Li 0.0000 0.0000 0.0000 1
Eu1 Eu 0.0000 0.5000 0.5000 1
Cu1 Cu 0.5000 0.5000 0.5000 1
```

---

Below is a geometry-optimized La6CoSb2 structure, with properties calculated at the PBE level.

DOS at the Fermi energy = 19.71 states/eV per cell
Formation energy without anion corrections = -0.575 eV per atom

```
data_La6CoSb2
_cell_length_a 6.7759
_cell_length_b 10.1346
_cell_length_c 9.9445
_cell_angle_alpha 90.00
_cell_angle_beta 122.03
_cell_angle_gamma 90.00
_space_group_name_H-M_alt 'P 1 21/c 1'
_space_group_IT_number 14
_space_group_name_Hall '-P 2ybc'
loop_
_atom_site_label
_atom_site_type_symbol
_atom_site_fract_x
_atom_site_fract_y
_atom_site_fract_z
_atom_site_occupancy
La1 La 0.1248 0.1500 0.4757 1
La2 La 0.3230 0.7421 0.4570 1
La3 La 0.3253 0.0165 0.1974 1
Co1 Co 0.5000 0.0000 0.5000 1
Sb1 Sb 0.1703 0.0779 0.8137 1
```

---

Below is a geometry-optimized NaP3Au structure, with properties calculated at the PBE level.

DOS at the Fermi energy = 4.44 states/eV per cell
ΔH_f (0 K) = 1.577 eV per atom

```
data_NaP3Au
_cell_length_a 4.7959
_cell_length_b 4.7959
_cell_length_c 4.7959
_cell_angle_alpha 90.00
_cell_angle_beta 90.00
_cell_angle_gamma 90.00
_space_group_name_H-M_alt 'P m -3 m'
_space_group_IT_number 221
_space_group_name_Hall '-P 4 2 3'
loop_
_atom_site_label
_atom_site_type_symbol
_atom_site_fract_x
_atom_site_fract_y
_atom_site_fract_z
_atom_site_occupancy
Na1 Na 0.0000 0.0000 0.0000 1
P1 P 0.0000 0.0000 0.5000 1
Au1 Au 0.5000 0.5000 0.5000 1
```

---

Below is a geometry-optimized CaAc2US6 structure, with properties calculated at the PBE level.

DOS at the Fermi energy = 5.71 states/eV per cell
Formation energy without anion corrections = -1.881 eV per atom

```
data_CaAc2US6
_cell_length_a 7.3180
_cell_length_b 7.3189
_cell_length_c 7.5322
_cell_angle_alpha 90.01
_cell_angle_beta 119.05
_cell_angle_gamma 119.96
_space_group_name_H-M_alt 'P 1'
_space_group_IT_number 1
_space_group_name_Hall 'P 1'
loop_
_atom_site_label
_atom_site_type_symbol
_atom_site_fract_x
_atom_site_fract_y
_atom_site_fract_z
_atom_site_occupancy
Ca1 Ca 0.0000 0.0000 0.0000 1
Ac1 Ac 0.4263 0.2131 0.6394 1
Ac2 Ac 0.4335 0.7160 0.1490 1
U1 U 0.0095 0.5049 0.5140 1
S1 S 0.1516 0.7784 0.2985 1
S2 S 0.1647 0.8662 0.7931 1
S3 S 0.4954 0.6290 0.7926 1
S4 S 0.5194 0.3714 0.2984 1
S5 S 0.9270 0.1467 0.2993 1
S6 S 0.9266 0.2979 0.7927 1
```

---

Below is a geometry-optimized CaAc8Ru2 structure, with properties calculated at the PBE level.

DOS at the Fermi energy = 28.42 states/eV per cell
ΔH_f (0 K) = -0.045 eV per atom

```
data_CaAc8Ru2
_cell_length_a 16.8440
_cell_length_b 7.6134
_cell_length_c 6.8766
_cell_angle_alpha 90.00
_cell_angle_beta 96.03
_cell_angle_gamma 90.00
_space_group_name_H-M_alt 'C 1 2/m 1'
_space_group_IT_number 12
_space_group_name_Hall '-C 2y'
loop_
_atom_site_label
_atom_site_type_symbol
_atom_site_fract_x
_atom_site_fract_y
_atom_site_fract_z
_atom_site_occupancy
Ca1 Ca 0.0000 0.0000 0.0000 1
Ac1 Ac 0.0786 0.5000 0.8333 1
Ac2 Ac 0.1369 0.2457 0.3944 1
Ac3 Ac 0.2112 0.0000 0.9006 1
Ru1 Ru 0.2287 0.5000 0.6661 1
```

---

Below is a geometry-optimized Sm4Ho3TmTe8 structure, with properties calculated at the PBE level.

DOS at the Fermi energy = 34.53 states/eV per cell
Formation energy without anion corrections = -1.305 eV per atom

```
data_Sm4Ho3TmTe8
_cell_length_a 8.6848
_cell_length_b 8.6848
_cell_length_c 21.9268
_cell_angle_alpha 90.00
_cell_angle_beta 90.00
_cell_angle_gamma 120.00
_space_group_name_H-M_alt 'R -3 m'
_space_group_IT_number 166
_space_group_name_Hall '-R 3 2"'
loop_
_atom_site_label
_atom_site_type_symbol
_atom_site_fract_x
_atom_site_fract_y
_atom_site_fract_z
_atom_site_occupancy
Sm1 Sm 0.0000 0.0000 0.0000 1
Sm2 Sm 0.0000 0.5000 0.0000 1
Ho1 Ho 0.0000 0.5000 0.5000 1
Tm1 Tm 0.0000 0.0000 0.5000 1
Te1 Te 0.0000 0.0000 0.2468 1
Te2 Te 0.0016 0.5008 0.2464 1
```

---

Below is a geometry-optimized V2As2W structure, with properties calculated at the PBE level.

DOS at the Fermi energy = 9.66 states/eV per cell
ΔH_f (0 K) = 0.389 eV per atom

```
data_V2As2W
_cell_length_a 3.4290
_cell_length_b 3.4290
_cell_length_c 13.1505
_cell_angle_alpha 90.00
_cell_angle_beta 90.00
_cell_angle_gamma 90.00
_space_group_name_H-M_alt 'I 4/m m m'
_space_group_IT_number 139
_space_group_name_Hall '-I 4 2'
loop_
_atom_site_label
_atom_site_type_symbol
_atom_site_fract_x
_atom_site_fract_y
_atom_site_fract_z
_atom_site_occupancy
V1 V 0.0000 0.5000 0.2500 1
As1 As 0.0000 0.0000 0.1060 1
W1 W 0.0000 0.0000 0.5000 1
```

---

Calculated V in order - 19.3, 27.8, 20.4, 22.0, 7.7, 38.5, 32.2, 22.1, 28.9, 39.9, 29.8, 15.5 Å³/atom